(1)
Density functional theory data (PBE) for a geometry-optimized Sr2Bi4Pd3Pt structure.

Values from the calculation:
As for the theoretical density: 9.64 g/cm3. The value obtained for the volume is 26.3 Å³/atom. The calculated formation energy is -0.581 eV per atom. Its size of the total moment is 0.000 μB/cell. The calculation puts the density of states at the Fermi level at 5.3 states/eV/f.u.

Cell: 4.8979 4.8979 10.9560 Å, 90.00 90.00 90.00°
With the nearest neighbours (Å) after each atom.
Space group P-4m2 (No. 115)
Unique sites:
Sr: 0.0000 0.5000 0.2316  2 Pt 3.53, 6 Pd 3.53-3.78, 9 Bi 3.66-3.89
Bi: 0.0000 0.0000 0.5000  4 Pd 2.83
Bi: 0.0000 0.5000 0.8763  3 Pd 2.71-2.80, 2 Pt 2.80
Bi: 0.5000 0.5000 0.5000  4 Pd 2.83
Pd: 0.0000 0.0000 0.0000  4 Bi 2.80
Pd: 0.0000 0.5000 0.6291  5 Bi 2.71-2.83
Pt: 0.5000 0.5000 0.0000  4 Bi 2.80

---

(2)
Density functional theory data (PBE) for a geometry-optimized TcIrOs2 structure.

Values from the calculation:
As for the theoretical density: 19.29 g/cm3. The energy above the most stable polymorph in this dataset comes out at 1.58 kcal/mol of atoms. The value obtained for the volume is 14.4 Å³/atom. The calculated formation energy is 0.055 eV per atom. Its size of the total moment is 0.000 μB/cell. The calculation puts the density of states at the Fermi level at 3.1 states/eV/f.u.

Cell: 2.7317 2.7317 26.7996 Å, 90.00 90.00 120.00°
With the nearest neighbours (Å) after each atom.
Space group R-3m (No. 166, hexagonal axes)
Unique sites:
Tc: 0.0000 0.0000 0.0000  6 Os 2.73, 6 Tc 2.73
Ir: 0.0000 0.0000 0.5000  6 Ir 2.73, 6 Os 2.74
Os: 0.0000 0.0000 0.2504  3 Tc 2.73, 6 Os 2.73, 3 Ir 2.74

---

(3)
Density functional theory data (PBE) for a geometry-optimized LaNi2Br structure.

Values from the calculation:
As for the theoretical density: 7.11 g/cm3. The energy above the most stable polymorph in this dataset comes out at 10.44 kcal/mol of atoms. The calculation puts the uncorrected formation energy at -0.03 eV per atom. The value obtained for the volume is 19.6 Å³/atom. Its size of the total moment is 0.000 μB/cell. The calculation puts the density of states at the Fermi level at 3.5 states/eV/f.u.

Cell: 3.8001 4.4985 4.5964 Å, 90.00 90.00 90.00°
With the nearest neighbours (Å) after each atom.
Space group Pmmm (No. 47)
Unique sites:
La: 0.0000 0.0000 0.0000  4 Br 2.94, 8 Ni 2.98-3.22
Ni: 0.0000 0.5000 0.5000  4 Ni 2.94, 4 Br 2.98, 4 La 3.22
Ni: 0.5000 0.0000 0.5000  4 Ni 2.94, 4 La 2.98, 4 Br 3.22
Br: 0.5000 0.5000 0.0000  4 La 2.94, 8 Ni 2.98-3.22

---

(4)
Density functional theory data (PBE) for a geometry-optimized HfTl2Bi2 structure.

Values from the calculation:
As for the theoretical density: 10.76 g/cm3. The energy above the most stable polymorph in this dataset comes out at 0.67 kcal/mol of atoms. The value obtained for the volume is 31.0 Å³/atom. The calculated formation energy is 0.263 eV per atom. Its size of the total moment is 0.000 μB/cell. The calculation puts the density of states at the Fermi level at 4.2 states/eV/f.u.

Cell: 4.1151 4.1151 18.3251 Å, 90.00 90.00 90.00°
With the nearest neighbours (Å) after each atom.
Space group I4/mmm (No. 139)
Unique sites:
Hf: 0.0000 0.0000 0.0000  8 Bi 3.31
Tl: 0.0000 0.5000 0.2500  4 Tl 2.91
Bi: 0.0000 0.0000 0.4144  1 Bi 3.14, 4 Hf 3.31

---

(5)
Density functional theory data (PBE) for a geometry-optimized Na4Cd3Hg4 structure.

Values from the calculation:
As for the theoretical density: 6.94 g/cm3. The value obtained for the volume is 26.8 Å³/atom. The calculated formation energy is -0.094 eV per atom. Its size of the total moment is 0.000 μB/cell. The calculation puts the density of states at the Fermi level at 5.1 states/eV/f.u.

Cell: 20.2556 3.2837 10.2741 Å, 90.00 120.41 90.00°
With the nearest neighbours (Å) after each atom.
Space group C2/m (No. 12)
Unique sites:
Na: 0.9999 0.0000 0.2213  2 Hg 3.01, 2 Na 3.28, 6 Cd 3.30-3.35
Na: 0.1936 0.5000 0.6935  6 Hg 3.21-3.36, 2 Na 3.28, 1 Cd 3.38
Cd: 0.0000 0.5000 0.5000  2 Cd 3.28, 6 Na 3.30-3.38
Cd: 0.1048 0.5000 0.1048  4 Hg 3.14, 2 Cd 3.28, 4 Na 3.35
Hg: 0.1723 0.0000 0.4061  4 Na 3.01-3.35, 2 Cd 3.14, 4 Hg 3.19-3.28
Hg: 0.1724 0.0000 0.9385  4 Na 3.01-3.36, 2 Cd 3.14, 4 Hg 3.19-3.28

---

(6)
Density functional theory data (PBE) for a geometry-optimized Ru3Se structure.

Values from the calculation:
As for the theoretical density: 10.75 g/cm3. The calculation puts the uncorrected formation energy at 0.37 eV per atom. The value obtained for the volume is 14.8 Å³/atom. Its size of the total moment is 0.000 μB/cell. The calculation puts the density of states at the Fermi level at 4.6 states/eV/f.u.

Cell: 2.8448 3.6959 5.6131 Å, 90.00 90.00 90.00°
With the nearest neighbours (Å) after each atom.
Space group Pmmm (No. 47)
Unique sites:
Ru: 0.0000 0.0000 0.0000  10 Ru 2.68-2.84, 2 Se 2.81
Ru: 0.5000 0.5000 0.2356  7 Ru 2.64-2.84, 4 Se 2.76
Se: 0.0000 0.0000 0.5000  10 Ru 2.76-2.81, 2 Se 2.84

---

(7)
Density functional theory data (PBE) for a geometry-optimized Ca2B2Mo structure.

Values from the calculation:
As for the theoretical density: 3.78 g/cm3. The energy above the most stable polymorph in this dataset comes out at 24.20 kcal/mol of atoms. The value obtained for the volume is 17.4 Å³/atom. The calculated formation energy is 1.616 eV per atom. Its size of the total moment is 0.000 μB/cell. The calculation puts the density of states at the Fermi level at 3.0 states/eV/f.u.

Cell: 4.4218 4.4218 8.8883 Å, 90.00 90.00 90.00°
With the nearest neighbours (Å) after each atom.
Space group I4/mmm (No. 139)
Unique sites:
Ca: 0.0000 0.0000 0.1398  4 B 2.42, 1 Ca 2.49
B: 0.0000 0.5000 0.2500  4 Ca 2.42
Mo: 0.0000 0.0000 0.5000  8 B 3.13, 10 Ca 3.20-3.36

---

(8)
Density functional theory data (PBE) for a geometry-optimized Al2SbIr structure.

Values from the calculation:
As for the theoretical density: 8.26 g/cm3. The calculation puts the uncorrected formation energy at 0.02 eV per atom. The value obtained for the volume is 18.5 Å³/atom. Its size of the total moment is 0.000 μB/cell. The calculation puts the density of states at the Fermi level at 2.4 states/eV/f.u.

Cell: 3.2176 3.2176 24.7405 Å, 90.00 90.00 120.00°
With the nearest neighbours (Å) after each atom.
Space group R3m (No. 160, hexagonal axes)
Unique sites:
Al: 0.0000 0.0000 0.0000  3 Ir 2.55, 3 Al 2.83
Al: 0.0000 0.0000 0.2471  3 Al 2.83, 3 Sb 2.94
Sb: 0.0000 0.0000 0.4883  3 Ir 2.80, 3 Al 2.94
Ir: 0.0000 0.0000 0.7371  3 Al 2.55, 3 Sb 2.80

---

(9)
Density functional theory data (PBE) for a geometry-optimized TaIn2I structure.

Values from the calculation:
As for the theoretical density: 8.80 g/cm3. The energy above the most stable polymorph in this dataset comes out at 0.00 kcal/mol of atoms. The calculation puts the uncorrected formation energy at 0.87 eV per atom. The value obtained for the volume is 25.4 Å³/atom. Its size of the total moment is 0.005 μB/cell. The calculation puts the density of states at the Fermi level at 5.0 states/eV/f.u.

Cell: 4.2721 4.2721 22.2241 Å, 90.00 90.00 90.00°
With the nearest neighbours (Å) after each atom.
Space group I-42d (No. 122)
Unique sites:
Ta: 0.0000 0.0000 0.0000  4 I 3.02, 4 In 3.14
In: 0.2317 0.2500 0.1250  4 In 2.91-3.13, 2 Ta 3.14, 2 I 3.19
I: 0.0000 0.0000 0.5000  4 Ta 3.02, 4 In 3.19

---

(10)
Density functional theory data (PBE) for a geometry-optimized RbV3Te structure.

Values from the calculation:
As for the theoretical density: 6.13 g/cm3. The energy above the most stable polymorph in this dataset comes out at 29.10 kcal/mol of atoms. The calculation puts the uncorrected formation energy at 2.51 eV per atom. The value obtained for the volume is 19.8 Å³/atom. Its size of the total moment is 0.003 μB/cell. The calculation puts the density of states at the Fermi level at 8.0 states/eV/f.u.

Cell: 4.6287 4.6287 4.6287 Å, 90.00 90.00 90.00°
With the nearest neighbours (Å) after each atom.
Space group Pm-3m (No. 221)
Unique sites:
Rb: 0.0000 0.0000 0.0000  6 V 2.31
V: 0.0000 0.0000 0.5000  2 Rb 2.31
Te: 0.5000 0.5000 0.5000  12 V 3.27

---

(11)
Density functional theory data (PBE) for a geometry-optimized LiPaF6 structure.

Values from the calculation:
As for the theoretical density: 4.39 g/cm3. The calculation puts the uncorrected formation energy at -3.64 eV per atom. The value obtained for the volume is 16.6 Å³/atom. Its size of the total moment is 0.000 μB/cell. The calculation puts the density of states at the Fermi level at 0.0 states/eV/f.u.

Cell: 5.6419 5.6419 14.4846 Å, 90.00 90.00 120.00°
With the nearest neighbours (Å) after each atom.
Space group R-3 (No. 148, hexagonal axes)
Unique sites:
Li: 0.0000 0.0000 0.0000  6 F 2.06
Pa: 0.0000 0.0000 0.5000  6 F 2.11
F: 0.0053 0.5918 0.7493  1 Li 2.06, 1 Pa 2.11

---

(12)
Density functional theory data (PBE) for a geometry-optimized LaDyTh structure.

Values from the calculation:
As for the theoretical density: 8.78 g/cm3. The energy above the most stable polymorph in this dataset comes out at 0.43 kcal/mol of atoms. The value obtained for the volume is 33.6 Å³/atom. The calculated formation energy is 0.028 eV per atom. Its size of the total moment is 0.000 μB/cell. The calculation puts the density of states at the Fermi level at 4.7 states/eV/f.u.

Cell: 3.6258 3.6258 15.3424 Å, 90.00 90.00 90.00°
With the nearest neighbours (Å) after each atom.
Space group I4mm (No. 107)
Unique sites:
La: 0.0000 0.0000 0.0000  4 Th 3.56, 4 La 3.63, 4 Dy 3.82
Dy: 0.0000 0.0000 0.6848  4 Th 3.48, 4 Dy 3.63, 4 La 3.82
Th: 0.0000 0.0000 0.3386  4 Dy 3.48, 4 La 3.56, 4 Th 3.63

---

(13)
Density functional theory data (PBE) for a geometry-optimized TaTeAs2 structure.

Values from the calculation:
As for the theoretical density: 7.86 g/cm3. The calculation puts the uncorrected formation energy at -0.04 eV per atom. The value obtained for the volume is 24.2 Å³/atom. Its size of the total moment is 0.000 μB/cell. The calculation puts the density of states at the Fermi level at 1.9 states/eV/f.u.

Cell: 3.6724 4.6655 11.3057 Å, 90.00 90.00 90.00°
With the nearest neighbours (Å) after each atom.
Space group Cmmm (No. 65)
Unique sites:
Ta: 0.0000 0.0000 0.0000  4 As 2.69, 4 Ta 2.97
Te: 0.0000 0.0000 0.5000  4 Te 2.97
As: 0.0000 0.5000 0.1743  2 Ta 2.69, 4 As 2.97

---

(14)
Density functional theory data (PBE) for a geometry-optimized MgBe3Ru structure.

Values from the calculation:
As for the theoretical density: 3.42 g/cm3. The energy above the most stable polymorph in this dataset comes out at 0.00 kcal/mol of atoms. The value obtained for the volume is 14.8 Å³/atom. The calculated formation energy is 0.383 eV per atom. Its size of the total moment is 0.000 μB/cell. The calculation puts the density of states at the Fermi level at 1.5 states/eV/f.u.

Cell: 4.1970 4.1970 4.1970 Å, 90.00 90.00 90.00°
With the nearest neighbours (Å) after each atom.
Space group Pm-3m (No. 221)
Unique sites:
Mg: 0.0000 0.0000 0.0000  12 Be 2.97
Be: 0.0000 0.5000 0.5000  2 Ru 2.10
Ru: 0.5000 0.5000 0.5000  6 Be 2.10

---

(15)
Density functional theory data (PBE) for a geometry-optimized YSIO2 structure.

Values from the calculation:
As for the theoretical density: 3.58 g/cm3. The calculation puts the uncorrected formation energy at -0.86 eV per atom. The value obtained for the volume is 25.9 Å³/atom. Its size of the total moment is 0.015 μB/cell. The calculation puts the density of states at the Fermi level at 4.9 states/eV/f.u.

Cell: 4.1988 4.1988 7.3594 Å, 90.00 90.00 90.00°
With the nearest neighbours (Å) after each atom.
Space group P4/mmm (No. 123)
Unique sites:
Y: 0.0000 0.0000 0.0000  4 O 2.10
S: 0.5000 0.5000 0.5000  4 I 2.97
I: 0.0000 0.0000 0.5000  4 S 2.97
O: 0.0000 0.5000 0.0000  2 Y 2.10

---

(16)
Density functional theory data (PBE) for a geometry-optimized ZrTaPbO6 structure.

Values from the calculation:
As for the theoretical density: 7.42 g/cm3. The calculation puts the uncorrected formation energy at -2.43 eV per atom. The value obtained for the volume is 14.3 Å³/atom. Its size of the total moment is 0.000 μB/cell. The calculation puts the density of states at the Fermi level at 3.8 states/eV/f.u.

Cell: 5.4949 5.4949 9.8542 Å, 90.00 90.00 120.00°
With the nearest neighbours (Å) after each atom.
Space group P-31c (No. 163)
Unique sites:
Zr: 0.3333 0.6667 0.2500  6 O 2.12
Ta: 0.3333 0.6667 0.7500  6 O 2.01
Pb: 0.0000 0.0000 0.0000  6 O 2.43
O: 0.0153 0.3728 0.6395  1 Ta 2.01, 1 Zr 2.12